[1]
Computed, not measured: CdIn16Ga12 after structural relaxation at the PBE level of DFT.

Output
formation energy from the elements: 39 meV per atom
space-group type: Cm

The structure in POSCAR format:
```
CdIn16Ga12
1.0
5.4772 -8.7116 0.0000
5.4772 8.7116 0.0000
-5.4752 0.0000 7.2506
Cd In Ga
1 16 12
direct
0.0000 0.0000 0.0000
0.0070 0.4055 0.6175
0.0397 0.0397 0.6620
0.0974 0.6988 0.9985
0.1107 0.3443 0.3065
0.2949 0.9829 0.9081
0.3059 0.3059 0.6218
0.3413 0.6818 0.3100
0.3443 0.1107 0.3065
0.3811 0.6950 0.7082
0.4055 0.0070 0.6175
0.6818 0.3413 0.3100
0.6886 0.6886 0.3021
0.6950 0.3811 0.7082
0.6965 0.6965 0.9489
0.6988 0.0974 0.9985
0.9829 0.2949 0.9081
0.0438 0.8550 0.3090
0.0639 0.6769 0.4998
0.3275 0.3275 0.1099
0.3359 0.5305 0.9554
0.4910 0.8793 0.1208
0.5217 0.5217 0.4961
0.5305 0.3359 0.9554
0.6769 0.0639 0.4998
0.6923 0.8805 0.6666
0.8550 0.0438 0.3090
0.8793 0.4910 0.1208
0.8805 0.6923 0.6666
```

[2]
Computed, not measured: BeOsN3 after structural relaxation at the PBE level of DFT.

Output
space-group type: Pm-3m
raw formation energy: 8.3 eV per formula unit

The structure in POSCAR format:
```
BeOsN3
1.0
3.4309 0.0000 0.0000
0.0000 3.4309 0.0000
0.0000 0.0000 3.4309
Be Os N
1 1 3
direct
0.0000 0.0000 0.0000
0.5000 0.5000 0.5000
0.0000 0.0000 0.5000
0.0000 0.5000 0.0000
0.5000 0.0000 0.0000
```

[3]
Computed, not measured: Ga2H8W after structural relaxation at the PBE level of DFT.

Output
space-group type: C2/m

The structure in POSCAR format:
```
Ga2H8W
1.0
5.1083 -1.5492 0.0000
5.1083 1.5492 0.0000
-1.3493 0.0000 6.7515
Ga H W
2 8 1
direct
0.0990 0.0990 0.2638
0.9010 0.9010 0.7362
0.1021 0.1021 0.6111
0.1600 0.1600 0.0759
0.3283 0.3283 0.5510
0.4619 0.4619 0.2239
0.5381 0.5381 0.7761
0.6717 0.6717 0.4490
0.8400 0.8400 0.9241
0.8979 0.8979 0.3889
0.5000 0.5000 0.5000
```

[4]
Computed, not measured: AsPdRh2Se after structural relaxation at the PBE level of DFT.

Output
space-group type: P4/mmm
raw formation energy: 2.4 eV per formula unit

The structure in POSCAR format:
```
AsPdRh2Se
1.0
4.5842 0.0000 0.0000
0.0000 4.5842 0.0000
0.0000 0.0000 4.6522
As Pd Rh Se
1 1 2 1
direct
0.0000 0.0000 0.0000
0.5000 0.5000 0.0000
0.0000 0.5000 0.5000
0.5000 0.0000 0.5000
0.5000 0.5000 0.5000
```

[5]
Computed, not measured: PmYCdCu after structural relaxation at the PBE level of DFT.

Output
formation energy from the elements: -216 meV per atom
space-group type: F-43m

The structure in POSCAR format:
```
PmYCdCu
1.0
0.0000 3.6733 3.6733
3.6733 0.0000 3.6733
3.6733 3.6733 0.0000
Pm Y Cd Cu
1 1 1 1
direct
0.0000 0.0000 0.0000
0.5000 0.5000 0.5000
0.2500 0.2500 0.2500
0.7500 0.7500 0.7500
```

[6]
Computed, not measured: SrLaTh after structural relaxation at the PBE level of DFT.

Output
formation energy from the elements: 171 meV per atom
energy above the most stable polymorph in this dataset: 8 meV per atom
space-group type: R-3m

The structure in POSCAR format:
```
SrLaTh
1.0
1.8593 1.0734 19.6587
-1.8593 1.0734 19.6587
0.0000 -2.1469 19.6587
Sr La Th
2 2 2
direct
0.1966 0.1966 0.1966
0.8034 0.8034 0.8034
0.2590 0.2590 0.2590
0.7410 0.7410 0.7410
0.3579 0.3579 0.3579
0.6421 0.6421 0.6421
```

[7]
Computed, not measured: NdAg4Bi after structural relaxation at the PBE level of DFT.

Output
formation energy from the elements: -195 meV per atom
space-group type: F-43m

The structure in POSCAR format:
```
NdAg4Bi
1.0
0.0000 4.0667 4.0667
4.0667 0.0000 4.0667
4.0667 4.0667 0.0000
Nd Ag Bi
1 4 1
direct
0.0000 0.0000 0.0000
0.1240 0.6253 0.6253
0.6253 0.1240 0.6253
0.6253 0.6253 0.1240
0.6253 0.6253 0.6253
0.2500 0.2500 0.2500
```

[8]
Computed, not measured: Na2PuAs2Pt after structural relaxation at the PBE level of DFT.

Output
formation energy from the elements: 124 meV per atom
space-group type: I4/mmm

The structure in POSCAR format:
```
Na2PuAs2Pt
1.0
-1.9913 1.9913 10.0289
1.9913 -1.9913 10.0289
1.9913 1.9913 -10.0289
Na Pu As Pt
2 1 2 1
direct
0.2500 0.7500 0.5000
0.7500 0.2500 0.5000
0.0000 0.0000 0.0000
0.1416 0.1416 0.0000
0.8584 0.8584 0.0000
0.5000 0.5000 0.0000
```

Let's list calculated volume in order: 691.9; 40.4; 106.9; 97.8; 99.1; 235.4; 134.5; 159.1 Å³/cell.
Let's list total energy in order: -2.76; -6.33; -3.96; -5.13; -4.27; -4.51; -3.54; -5.26 eV per atom.